Crystalline NiP2 at its relaxed geometry. Source: Alexandria via LeMat-Bulk, functional PBE.

Calculated values
As for the symmetry: I4/mmm (139). For the energy of formation from the pure elements, the calculation gives 0.031 eV per atom. For the electronic total energy, the calculation gives -5.502 eV per atom. For the density of states at the Fermi level, the calculation gives 0.31 states/eV/f.u.

abc: 7.476 7.476 7.476
angles: 160.24 160.24 28.09
Positions (direct):
1 P 0.886 0.886 0.000
2 P 0.114 0.114 0.000
3 Ni 0.500 0.500 0.000